# Cs2BeH5

Cs2BeH5 after structural relaxation (PBE, Alexandria).

Properties
Energy (eV/atom): -2.81

Unit cell a=6.1828 b=6.1828 c=8.4423 alpha=90.00 beta=90.00 gamma=90.00
Space group I4mm (No. 107)
Asymmetric unit:
Cs 0.0000 0.5000 0.0000 [4 per cell]
Be 0.0000 0.0000 0.2939 [2 per cell]
H 0.0000 0.0000 0.4649 [2 per cell]
H 0.1641 0.1641 0.2380 [8 per cell]